Material: Li2Ir
Method: DFT, PBEsol
State: relaxed

Cell: 2.4467 4.1547 4.5788 Å, 116.98 105.50 90.00°
Closest atoms and distances in Å follow each position.
Element x y z (fractional)
Ir (0.0000, 0.0000, 0.0000)  2 Ir 2.45, 10 Li 2.63-2.72
Li (0.6625, 0.6625, 0.3250)  3 Li 2.45-2.53, 5 Ir 2.63-2.72
Li (0.3375, 0.3375, 0.6750)  3 Li 2.45-2.53, 5 Ir 2.63-2.72

Summary:
total magnetic moment: 0.0 μB per formula unit
space group: No. 71
formation energy: -110 meV per atom
DOS at the Fermi energy: 0.17 states/eV per atom
density: 8.649 g/cm³